# LiSi2Mo | the Alexandria database | GGA-PBE | optimized geometry
# mass density	4.5	Mg/m³
# E above lowest polymorph	426	meV/atom
# total energy	-5.66	eV/atom
# M_tot	0.00	μB/f.u.
# formation energy from raw total energies	0.23	eV per atom
data_LiSi2Mo
_cell_length_a 2.648
_cell_length_b 2.648
_cell_length_c 8.328
_cell_angle_alpha 90.00
_cell_angle_beta 90.00
_cell_angle_gamma 90.00
_symmetry_space_group_name_H-M 'P 4 m m'
_symmetry_Int_Tables_number 99
loop_
_symmetry_equiv_pos_as_xyz
'x,y,z'
'-y,x,z'
'-x,-y,z'
'y,-x,z'
'-x,y,z'
'y,x,z'
'x,-y,z'
'-y,-x,z'
loop_
_atom_site_label
_atom_site_fract_x
_atom_site_fract_y
_atom_site_fract_z
Li1 0.000 0.000 0.000
Si1 0.000 0.000 0.509
Si2 0.500 0.500 0.762
Mo1 0.500 0.500 0.277

# Li2Si2Mo | the Alexandria database | GGA-PBE | optimized geometry
# mass density	4.1	Mg/m³
# E above lowest polymorph	98	meV/atom
# total energy	-5.08	eV/atom
# M_tot	0.00	μB/f.u.
# formation energy from raw total energies	0.02	eV per atom
data_Li2Si2Mo
_cell_length_a 6.833
_cell_length_b 6.833
_cell_length_c 2.863
_cell_angle_alpha 90.00
_cell_angle_beta 90.00
_cell_angle_gamma 90.00
_symmetry_space_group_name_H-M 'P 4/m b m'
_symmetry_Int_Tables_number 127
_symmetry_space_group_name_Hall '-P 4 2ab'
loop_
_atom_site_label
_atom_site_fract_x
_atom_site_fract_y
_atom_site_fract_z
Li1 0.158 0.342 0.000
Si1 0.141 0.641 0.500
Mo1 0.000 0.000 0.500

# LiSi2Mo | the Alexandria database | GGA-PBE | optimized geometry
# mass density	4.5	Mg/m³
# E above lowest polymorph	14	meV/atom
# total energy	-6.08	eV/atom
# M_tot	0.00	μB/f.u.
# formation energy from raw total energies	-0.18	eV per atom
data_LiSi2Mo
_cell_length_a 5.173
_cell_length_b 5.026
_cell_length_c 9.202
_cell_angle_alpha 90.00
_cell_angle_beta 103.54
_cell_angle_gamma 90.00
_symmetry_space_group_name_H-M 'P 1 2/c 1'
_symmetry_Int_Tables_number 13
loop_
_symmetry_equiv_pos_as_xyz
'x,y,z'
'-x,-y,-z'
'-x,y,-z+1/2'
'x,-y,z+1/2'
loop_
_atom_site_label
_atom_site_fract_x
_atom_site_fract_y
_atom_site_fract_z
Li1 0.124 0.087 0.137
Si1 0.191 0.414 0.594
Si2 0.385 0.151 0.406
Mo1 0.285 0.346 0.873